(1)
NaAgSbI2, PBEsol geometry, DFT meta-GGA SCAN; magnetic moment = 0.317 μB/atom; uncorrected energy = -146.68 eV per cell; N(E_F) = 0.4515 states/eV/atom
1.0
5.835 0.000 0.000
0.000 5.835 0.000
0.000 0.000 5.255
Na Ag Sb I
1 1 1 2
Cartesian
0.000 0.000 0.000
2.917 2.917 2.628
2.917 2.917 0.000
0.000 2.917 2.628
2.917 0.000 2.628

=====

(2)
CaSiOs2, PBEsol geometry, DFT meta-GGA SCAN; magnetic moment = 0.000 μB/atom; uncorrected energy = -161.65 eV per cell; N(E_F) = 0.8079 states/eV/atom
1.0
4.320 0.000 0.000
0.000 4.320 0.000
0.000 0.000 3.207
Ca Si Os
1 1 2
Cartesian
0.000 0.000 0.000
2.160 2.160 0.000
0.000 2.160 1.603
2.160 0.000 1.603